# Te2MoO

A geometry-optimized Te2MoO structure (PBE with a Hubbard U, Alexandria).

POSCAR file:
```
Te2MoO
1.0
4.332 0.000 0.000
-2.166 3.751 0.000
0.000 0.000 20.627
Te Mo O
6 3 3
Cartesian
0.000 0.000 2.037 Te
0.000 0.000 18.590 Te
0.000 2.501 11.714 Te
0.000 2.501 15.789 Te
2.166 1.250 4.839 Te
2.166 1.250 8.913 Te
0.000 0.000 10.314 Mo
0.000 2.501 3.438 Mo
2.166 1.250 17.189 Mo
0.000 0.000 0.000 O
0.000 2.501 13.751 O
2.166 1.250 6.876 O
```

Output
The total energy is -4.554 eV/atom. The value obtained for the total moment is 7.72 μB/cell.